Compound: SrV2RuBr
Source: Alexandria via LeMat-Bulk
Functional: PBE
Structure: relaxed

Total magnetic moment   2.2019 μB/atom
Raw formation energy   2266 meV/atom

POSCAR file:
```
SrV2RuBr
1.0
5.6342 0.0000 0.0000
0.0000 5.6342 0.0000
0.0000 0.0000 5.4535
Sr V Ru Br
1 2 1 1
Direct
0.0000 0.0000 0.0000
0.0000 0.5000 0.0000
0.5000 0.0000 0.0000
0.5000 0.5000 0.5000
0.0000 0.0000 0.5000
```